1 | The following is a DFT calculation (PBE) of crystalline NaSmTm2 at its relaxed geometry.

a = 3.5564 Å, b = 3.5564 Å, c = 10.3600 Å
α = 90.00°, β = 90.00°, γ = 90.00°
Closest atoms and distances in Å follow each position.
Element x y z (fractional)
Sm: 0.5000 0.5000 0.0000  8 Tm 3.47, 4 Sm 3.56
Na: 0.5000 0.5000 0.5000  4 Na 3.56, 8 Tm 3.76
Tm: 0.0000 0.0000 0.7692  4 Sm 3.47, 4 Tm 3.56, 4 Na 3.76
Tm: 0.0000 0.0000 0.2308  4 Sm 3.47, 4 Tm 3.56, 4 Na 3.76

size of the total moment: 0.00 Bohr magnetons per cell
space-group type: No. 123
mass density: 6.48 g cm⁻³
D(E_F): 4.653 states/eV/cell

***

2 | The following is a DFT calculation (PBE) of crystalline NaSmTm2 at its relaxed geometry.

a = 3.4933 Å, b = 3.4933 Å, c = 12.7830 Å
α = 82.15°, β = 82.15°, γ = 60.00°
Closest atoms and distances in Å follow each position.
Element x y z (fractional)
Na: 0.0000 0.0000 0.0000  2 Tm 3.48, 6 Na 3.49
Sm: 0.5000 0.5000 0.5000  6 Tm 3.48, 6 Sm 3.49
Tm: 0.9082 0.9082 0.2754  1 Na 3.48, 3 Sm 3.48, 6 Tm 3.49
Tm: 0.0918 0.0918 0.7246  1 Na 3.48, 3 Sm 3.48, 6 Tm 3.49

size of the total moment: 0.00 Bohr magnetons per cell
space-group type: No. 166
mass density: 6.36 g cm⁻³
D(E_F): 5.871 states/eV/cell

***

List of relative energies, unit kJ/mol of atoms: 1 0.0; 2 3.4

***

1 | The following is a DFT calculation (PBE) of crystalline NaSm2Zn at its relaxed geometry.

a = 3.6496 Å, b = 3.6496 Å, c = 8.8757 Å
α = 90.00°, β = 90.00°, γ = 90.00°
Closest atoms and distances in Å follow each position.
Element x y z (fractional)
Na: 0.5000 0.5000 0.5000  4 Na 3.65, 8 Sm 3.74
Zn: 0.5000 0.5000 0.0000  8 Sm 3.10
Sm: 0.0000 0.0000 0.1943  4 Zn 3.10, 1 Sm 3.45
Sm: 0.0000 0.0000 0.8057  4 Zn 3.10, 1 Sm 3.45

size of the total moment: 0.00 Bohr magnetons per cell
space-group type: No. 123
mass density: 5.47 g cm⁻³
D(E_F): 4.028 states/eV/cell

***

2 | The following is a DFT calculation (PBE) of crystalline NaSm2Zn at its relaxed geometry.

a = 3.5469 Å, b = 3.5469 Å, c = 11.8915 Å
α = 81.42°, β = 81.42°, γ = 60.00°
Closest atoms and distances in Å follow each position.
Element x y z (fractional)
Na: 0.0000 0.0000 0.0000  6 Na 3.55, 2 Sm 3.62
Zn: 0.5000 0.5000 0.5000  6 Sm 3.03
Sm: 0.1030 0.1030 0.6910  3 Zn 3.03
Sm: 0.8970 0.8970 0.3090  3 Zn 3.03

size of the total moment: 0.00 Bohr magnetons per cell
space-group type: No. 166
mass density: 5.06 g cm⁻³
D(E_F): 3.894 states/eV/cell

***

List of relative energies, unit kJ/mol of atoms: 1 0.0; 2 12.1

***

1 | The following is a DFT calculation (PBE) of crystalline NaSn5 at its relaxed geometry.

a = 4.4860 Å, b = 6.9476 Å, c = 6.9476 Å
α = 55.77°, β = 71.16°, γ = 71.16°
Closest atoms and distances in Å follow each position.
Element x y z (fractional)
Sn: 0.5000 0.0000 0.0000  2 Na 3.25, 8 Sn 3.28
Na: 0.5000 0.5000 0.5000  10 Sn 3.25-3.33
Sn: 0.8427 0.3994 0.9153  6 Sn 3.09-3.35, 2 Na 3.33
Sn: 0.1573 0.0847 0.6006  6 Sn 3.09-3.35, 2 Na 3.33
Sn: 0.8427 0.9153 0.3994  6 Sn 3.09-3.35, 2 Na 3.33
Sn: 0.1573 0.6006 0.0847  6 Sn 3.09-3.35, 2 Na 3.33

size of the total moment: 0.00 Bohr magnetons per cell
space-group type: No. 71
mass density: 6.14 g cm⁻³
D(E_F): 3.108 states/eV/cell

***

2 | The following is a DFT calculation (PBE) of crystalline NaSn5 at its relaxed geometry.

a = 6.4027 Å, b = 6.4027 Å, c = 8.8957 Å
α = 90.00°, β = 90.00°, γ = 90.00°
Closest atoms and distances in Å follow each position.
Element x y z (fractional)
Sn: 0.3424 0.8424 0.1849  4 Sn 2.85-2.95, 1 Na 3.11
Sn: 0.2483 0.7483 0.5023  5 Sn 2.95-3.20
Sn: 0.8424 0.6576 0.8151  4 Sn 2.85-2.95, 1 Na 3.11
Na: 0.5000 0.0000 0.7937  6 Sn 3.11-3.46
Sn: 0.5000 0.5000 0.0000  4 Sn 2.92
Sn: 0.6576 0.1576 0.1849  4 Sn 2.85-2.95, 1 Na 3.11
Sn: 0.2517 0.2483 0.4977  5 Sn 2.95-3.20
Na: 0.0000 0.5000 0.2063  6 Sn 3.11-3.46
Sn: 0.7517 0.2517 0.5023  5 Sn 2.95-3.20
Sn: 0.0000 0.0000 0.0000  4 Sn 2.92
Sn: 0.7483 0.7517 0.4977  5 Sn 2.95-3.20
Sn: 0.1576 0.3424 0.8151  4 Sn 2.85-2.95, 1 Na 3.11

size of the total moment: 0.00 Bohr magnetons per cell
space-group type: No. 113
mass density: 5.61 g cm⁻³
D(E_F): 4.174 states/eV/cell

***

List of relative energies, unit kJ/mol of atoms: 1 3.7; 2 0.0

***

1 | The following is a DFT calculation (PBE) of crystalline Na4Sn at its relaxed geometry.

a = 4.3065 Å, b = 4.3065 Å, c = 9.4083 Å
α = 103.23°, β = 103.23°, γ = 90.00°
Closest atoms and distances in Å follow each position.
Element x y z (fractional)
Na: 0.9135 0.4135 0.3270  1 Na 3.08, 4 Sn 3.41
Sn: 0.5000 0.0000 0.5000  8 Na 3.41
Na: 0.7500 0.7500 0.0000  4 Na 3.05
Na: 0.0865 0.5865 0.6730  1 Na 3.08, 4 Sn 3.41
Na: 0.2500 0.2500 0.0000  4 Na 3.05

size of the total moment: 0.00 Bohr magnetons per cell
space-group type: No. 139
mass density: 2.12 g cm⁻³
D(E_F): 2.309 states/eV/cell

***

2 | The following is a DFT calculation (PBE) of crystalline Na4Sn at its relaxed geometry.

a = 5.9678 Å, b = 5.9678 Å, c = 5.9678 Å
α = 90.00°, β = 90.00°, γ = 90.00°
Closest atoms and distances in Å follow each position.
Element x y z (fractional)
Na: 0.0000 0.0000 0.0000  12 Na 4.22
Na: 0.0000 0.5000 0.5000  2 Sn 2.98
Sn: 0.5000 0.5000 0.5000  6 Na 2.98
Na: 0.5000 0.0000 0.5000  2 Sn 2.98
Na: 0.5000 0.5000 0.0000  2 Sn 2.98

size of the total moment: 0.00 Bohr magnetons per cell
space-group type: No. 221
mass density: 1.65 g cm⁻³
D(E_F): 3.251 states/eV/cell

***

3 | The following is a DFT calculation (PBE) of crystalline Na4Sn at its relaxed geometry.

a = 5.5377 Å, b = 9.6623 Å, c = 6.3933 Å
α = 121.26°, β = 90.00°, γ = 90.00°
Closest atoms and distances in Å follow each position.
Element x y z (fractional)
Na: 0.2500 0.3635 0.3381  2 Na 3.10-3.46, 3 Sn 3.32-3.33
Na: 0.7500 0.8635 0.3381  2 Na 3.10-3.46, 3 Sn 3.32-3.33
Na: 0.7500 0.6365 0.6619  2 Na 3.10-3.46, 3 Sn 3.32-3.33
Na: 0.2500 0.1365 0.6619  2 Na 3.10-3.46, 3 Sn 3.32-3.33
Na: 0.7500 0.4493 0.0946  5 Na 3.10-3.46, 1 Sn 3.25
Na: 0.2500 0.9493 0.0946  5 Na 3.10-3.46, 1 Sn 3.25
Na: 0.7500 0.0507 0.9054  5 Na 3.10-3.46, 1 Sn 3.25
Na: 0.2500 0.5507 0.9054  5 Na 3.10-3.46, 1 Sn 3.25
Sn: 0.2500 0.7500 0.5000  8 Na 3.25-3.33
Sn: 0.7500 0.2500 0.5000  8 Na 3.25-3.33

size of the total moment: 0.00 Bohr magnetons per cell
space-group type: No. 12
mass density: 2.39 g cm⁻³
D(E_F): 3.038 states/eV/cell

***

List of relative energies, unit kJ/mol of atoms: 1 23.1; 2 17.8; 3 0.0

***

1 | The following is a DFT calculation (PBE) of crystalline Na3Sn5 at its relaxed geometry.

a = 6.5257 Å, b = 7.9554 Å, c = 10.5991 Å
α = 82.75°, β = 72.07°, γ = 65.79°
Closest atoms and distances in Å follow each position.
Element x y z (fractional)
Sn: 0.6135 0.2115 0.6790  3 Sn 2.90-3.10
Sn: 0.2253 0.1091 0.8212  3 Sn 2.90-3.09
Na: 0.8524 0.9103 0.8836  6 Sn 3.25-3.33
Sn: 0.5424 0.7115 0.8210  3 Sn 2.90-3.10
Na: 0.9860 0.4103 0.6164  6 Sn 3.25-3.33
Na: 0.2373 0.9103 0.1164  6 Sn 3.25-3.33
Na: 0.2946 0.4108 0.0000  10 Sn 3.26-3.57
Na: 0.5446 0.9108 0.5000  10 Sn 3.26-3.57
Sn: 0.6657 0.1091 0.1788  3 Sn 2.90-3.09
Sn: 0.7461 0.7115 0.1790  3 Sn 2.90-3.10
Sn: 0.0945 0.6091 0.3212  3 Sn 2.90-3.09
Sn: 0.0448 0.9104 0.5000  4 Sn 3.09-3.10, 2 Na 3.26
Na: 0.6037 0.4103 0.3836  6 Sn 3.25-3.33
Sn: 0.7948 0.4104 0.0000  4 Sn 3.09-3.10, 2 Na 3.26
Sn: 0.2964 0.6091 0.6788  3 Sn 2.90-3.09
Sn: 0.1750 0.2115 0.3210  3 Sn 2.90-3.10

size of the total moment: 0.00 Bohr magnetons per cell
space-group type: No. 43
mass density: 4.61 g cm⁻³
D(E_F): 7.372 states/eV/cell

***

2 | The following is a DFT calculation (PBE) of crystalline Na3Sn5 at its relaxed geometry.

a = 4.8392 Å, b = 4.8392 Å, c = 9.7550 Å
α = 104.36°, β = 104.36°, γ = 90.00°
Closest atoms and distances in Å follow each position.
Element x y z (fractional)
Na: 0.1238 0.1238 0.2476  10 Sn 3.23-3.42, 2 Na 3.34
Sn: 0.7500 0.2500 0.5000  4 Sn 3.28, 8 Na 3.34-3.42
Na: 0.2500 0.7500 0.5000  8 Sn 3.28-3.42, 4 Na 3.34
Sn: 0.3709 0.3709 0.7418  6 Na 3.28-3.42, 6 Sn 3.28-3.46
Sn: 0.4937 0.9937 0.9874  4 Na 3.23-3.39, 8 Sn 3.30-3.46
Na: 0.8762 0.8762 0.7524  10 Sn 3.23-3.42, 2 Na 3.34
Sn: 0.6291 0.6291 0.2582  6 Sn 3.28-3.46, 6 Na 3.28-3.42
Sn: 0.0063 0.5063 0.0126  4 Na 3.23-3.39, 8 Sn 3.30-3.46

size of the total moment: 0.00 Bohr magnetons per cell
space-group type: No. 119
mass density: 5.14 g cm⁻³
D(E_F): 3.086 states/eV/cell

***

List of relative energies, unit kJ/mol of atoms: 1 4.2; 2 0.0

***

1 | The following is a DFT calculation (PBE) of crystalline Na8Sn at its relaxed geometry.

a = 7.8785 Å, b = 7.8785 Å, c = 7.8785 Å
α = 96.82°, β = 96.82°, γ = 139.70°
Closest atoms and distances in Å follow each position.
Element x y z (fractional)
Na: 0.3191 0.0000 0.3191  1 Sn 3.34, 6 Na 3.60-3.64
Sn: 0.0000 0.0000 0.0000  12 Na 3.34-3.54
Na: 0.3467 0.3467 0.6933  2 Na 3.21, 2 Sn 3.54
Na: 0.0000 0.6809 0.6809  1 Sn 3.34, 6 Na 3.60-3.64
Na: 0.3467 0.6533 0.0000  2 Na 3.21, 2 Sn 3.54
Na: 0.6533 0.6533 0.3067  2 Na 3.21, 2 Sn 3.54
Na: 0.0000 0.3191 0.3191  1 Sn 3.34, 6 Na 3.60-3.64
Na: 0.6533 0.3467 0.0000  2 Na 3.21, 2 Sn 3.54
Na: 0.6809 0.0000 0.6809  1 Sn 3.34, 6 Na 3.60-3.64

size of the total moment: 0.00 Bohr magnetons per cell
space-group type: No. 139
mass density: 1.69 g cm⁻³
D(E_F): 5.281 states/eV/cell

***

2 | The following is a DFT calculation (PBE) of crystalline Na8Sn at its relaxed geometry.

a = 4.1743 Å, b = 8.7429 Å, c = 8.7429 Å
α = 86.73°, β = 76.19°, γ = 76.19°
Closest atoms and distances in Å follow each position.
Element x y z (fractional)
Na: 0.6518 0.0000 0.6965  2 Sn 3.32, 6 Na 3.49-3.64
Na: 0.6714 0.3286 0.3286  8 Na 3.49-3.58
Na: 0.3482 0.0000 0.3035  2 Sn 3.32, 6 Na 3.49-3.64
Na: 0.6518 0.6965 0.0000  2 Sn 3.32, 6 Na 3.49-3.64
Na: 0.3286 0.6714 0.6714  8 Na 3.49-3.58
Sn: 0.0000 0.0000 0.0000  8 Na 3.32
Na: 0.0000 0.3286 0.6714  8 Na 3.49-3.58
Na: 0.0000 0.6714 0.3286  8 Na 3.49-3.58
Na: 0.3482 0.3035 0.0000  2 Sn 3.32, 6 Na 3.49-3.64

size of the total moment: 0.00 Bohr magnetons per cell
space-group type: No. 139
mass density: 1.67 g cm⁻³
D(E_F): 4.689 states/eV/cell

***

List of relative energies, unit kJ/mol of atoms: 1 0.0; 2 0.6

***

1 | The following is a DFT calculation (PBE) of crystalline NaSn12 at its relaxed geometry.

a = 8.1744 Å, b = 8.1744 Å, c = 8.1744 Å
α = 90.00°, β = 90.00°, γ = 90.00°
Closest atoms and distances in Å follow each position.
Element x y z (fractional)
Sn: 0.5000 0.2514 0.0000  4 Sn 2.87-2.91
Sn: 0.7486 0.0000 0.5000  4 Sn 2.87-2.91
Sn: 0.0000 0.7486 0.5000  4 Sn 2.87-2.91
Sn: 0.5000 0.0000 0.7486  4 Sn 2.87-2.91
Sn: 0.0000 0.2514 0.5000  4 Sn 2.87-2.91
Sn: 0.0000 0.5000 0.7486  4 Sn 2.87-2.91
Sn: 0.2514 0.5000 0.0000  4 Sn 2.87-2.91
Na: 0.5000 0.5000 0.5000  24 Sn 4.56
Sn: 0.0000 0.5000 0.2514  4 Sn 2.87-2.91
Sn: 0.5000 0.7486 0.0000  4 Sn 2.87-2.91
Sn: 0.7486 0.5000 0.0000  4 Sn 2.87-2.91
Sn: 0.5000 0.0000 0.2514  4 Sn 2.87-2.91
Sn: 0.2514 0.0000 0.5000  4 Sn 2.87-2.91

size of the total moment: 0.00 Bohr magnetons per cell
space-group type: No. 221
mass density: 4.40 g cm⁻³
D(E_F): 2.875 states/eV/cell

***

2 | The following is a DFT calculation (PBE) of crystalline NaSn12 at its relaxed geometry.

a = 9.0202 Å, b = 9.0202 Å, c = 9.0202 Å
α = 60.00°, β = 60.00°, γ = 60.00°
Closest atoms and distances in Å follow each position.
Element x y z (fractional)
Sn: 0.8393 0.5000 0.1607  5 Sn 2.90-3.06
Sn: 0.5000 0.1607 0.5000  5 Sn 2.90-3.06
Sn: 0.8393 0.1607 0.5000  5 Sn 2.90-3.06
Sn: 0.8393 0.5000 0.5000  5 Sn 2.90-3.06
Na: 0.0000 0.0000 0.0000  24 Sn 4.74
Sn: 0.1607 0.8393 0.5000  5 Sn 2.90-3.06
Sn: 0.5000 0.1607 0.8393  5 Sn 2.90-3.06
Sn: 0.5000 0.5000 0.1607  5 Sn 2.90-3.06
Sn: 0.5000 0.8393 0.5000  5 Sn 2.90-3.06
Sn: 0.1607 0.5000 0.5000  5 Sn 2.90-3.06
Sn: 0.1607 0.5000 0.8393  5 Sn 2.90-3.06
Sn: 0.5000 0.5000 0.8393  5 Sn 2.90-3.06
Sn: 0.5000 0.8393 0.1607  5 Sn 2.90-3.06

size of the total moment: 0.00 Bohr magnetons per cell
space-group type: No. 225
mass density: 4.63 g cm⁻³
D(E_F): 11.608 states/eV/cell

***

List of relative energies, unit kJ/mol of atoms: 1 0.0; 2 15.4

***

1 | The following is a DFT calculation (PBE) of crystalline NaSrSn6 at its relaxed geometry.

a = 4.8071 Å, b = 4.8071 Å, c = 9.5860 Å
α = 90.00°, β = 90.00°, γ = 90.00°
Closest atoms and distances in Å follow each position.
Element x y z (fractional)
Sn: 0.0000 0.5000 0.2590  8 Sn 3.33-3.46, 2 Na 3.33, 2 Sr 3.46
Sn: 0.5000 0.0000 0.2590  8 Sn 3.33-3.46, 2 Na 3.33, 2 Sr 3.46
Sn: 0.5000 0.5000 0.0000  4 Sr 3.40, 8 Sn 3.46
Sr: 0.0000 0.0000 0.0000  12 Sn 3.40-3.46
Na: 0.0000 0.0000 0.5000  12 Sn 3.33-3.40
Sn: 0.0000 0.5000 0.7410  8 Sn 3.33-3.46, 2 Na 3.33, 2 Sr 3.46
Sn: 0.5000 0.5000 0.5000  8 Sn 3.33, 4 Na 3.40
Sn: 0.5000 0.0000 0.7410  8 Sn 3.33-3.46, 2 Na 3.33, 2 Sr 3.46

size of the total moment: 0.00 Bohr magnetons per cell
space-group type: No. 123
mass density: 6.17 g cm⁻³
D(E_F): 5.456 states/eV/cell

***

2 | The following is a DFT calculation (PBE) of crystalline NaSrSn6 at its relaxed geometry.

a = 5.2377 Å, b = 7.1280 Å, c = 7.1280 Å
α = 120.01°, β = 90.00°, γ = 90.00°
Closest atoms and distances in Å follow each position.
Element x y z (fractional)
Sn: 0.5000 0.9290 0.0710  2 Na 3.24, 6 Sn 3.30-3.31, 2 Sr 3.57
Sr: 0.5000 0.4169 0.5831  12 Sn 3.51-3.57
Sn: 0.0000 0.0374 0.3940  6 Sn 3.07-3.31
Sn: 0.5000 0.9299 0.6089  2 Na 3.24, 6 Sn 3.29-3.31, 2 Sr 3.57
Na: 0.0000 0.0830 0.9170  12 Sn 3.24-3.58
Sn: 0.5000 0.3911 0.0701  2 Na 3.24, 6 Sn 3.29-3.31, 2 Sr 3.57
Sn: 0.0000 0.6065 0.3935  6 Sn 3.07-3.31
Sn: 0.0000 0.6060 0.9626  6 Sn 3.07-3.31

size of the total moment: 0.00 Bohr magnetons per cell
space-group type: No. 38
mass density: 5.93 g cm⁻³
D(E_F): 3.529 states/eV/cell

***

List of relative energies, unit kJ/mol of atoms: 1 1.1; 2 0.0